Arrangement w

Density functional theory data (PBE) for a relaxed structure of Rb2LiGa2.

Calculated values
- N(E_F) (states/eV/atom) = 0.733
- symmetry = No. 127
- calculated volume (Å³/atom) = 35.50

a b c (Å): 7.6531 7.6531 6.0619
angles (deg): 90.00 90.00 90.00
Closest atoms and distances in Å follow each position.
Fractional positions:
Rb: 0.1863 0.3137 0.0000  6 Ga 3.71-3.85, 5 Rb 3.95-4.03, 4 Li 4.12
Rb: 0.3137 0.8137 0.0000  6 Ga 3.71-3.85, 5 Rb 3.95-4.03, 4 Li 4.12
Rb: 0.6863 0.1863 0.0000  6 Ga 3.71-3.85, 5 Rb 3.95-4.03, 4 Li 4.12
Rb: 0.8137 0.6863 0.0000  6 Ga 3.71-3.85, 5 Rb 3.95-4.03, 4 Li 4.12
Li: 0.0000 0.0000 0.5000  4 Ga 3.07
Li: 0.5000 0.5000 0.5000  4 Ga 3.07
Ga: 0.1163 0.6163 0.5000  1 Ga 2.52
Ga: 0.3837 0.1163 0.5000  1 Ga 2.52
Ga: 0.6163 0.8837 0.5000  1 Ga 2.52
Ga: 0.8837 0.3837 0.5000  1 Ga 2.52


Arrangement x

Density functional theory data (PBE) for a relaxed structure of Rb2LiGa2.

Calculated values
- N(E_F) (states/eV/atom) = 1.610
- symmetry = No. 127
- calculated volume (Å³/atom) = 40.21

a b c (Å): 10.7755 10.7755 3.4626
angles (deg): 90.00 90.00 90.00
Closest atoms and distances in Å follow each position.
Fractional positions:
Rb: 0.2044 0.2956 0.0000  2 Rb 3.46, 6 Ga 3.69-3.78, 2 Li 3.87
Rb: 0.2956 0.7956 0.0000  2 Rb 3.46, 6 Ga 3.69-3.78, 2 Li 3.87
Rb: 0.7044 0.2044 0.0000  2 Rb 3.46, 6 Ga 3.69-3.78, 2 Li 3.87
Rb: 0.7956 0.7044 0.0000  2 Rb 3.46, 6 Ga 3.69-3.78, 2 Li 3.87
Li: 0.0000 0.0000 0.0000  2 Li 3.46, 4 Rb 3.87
Li: 0.5000 0.5000 0.0000  2 Li 3.46, 4 Rb 3.87
Ga: 0.0820 0.5820 0.5000  1 Ga 2.50
Ga: 0.4180 0.0820 0.5000  1 Ga 2.50
Ga: 0.5820 0.9180 0.5000  1 Ga 2.50
Ga: 0.9180 0.4180 0.5000  1 Ga 2.50


Least stable of them? arrangement x.


Arrangement w

Density functional theory data (PBE) for a relaxed structure of RbLi3Ga.

Calculated values
- N(E_F) (states/eV/atom) = 0.662
- symmetry = No. 221
- calculated volume (Å³/atom) = 35.58

a b c (Å): 5.6240 5.6240 5.6240
angles (deg): 90.00 90.00 90.00
Closest atoms and distances in Å follow each position.
Fractional positions:
Rb: 0.0000 0.0000 0.0000  6 Li 2.81
Li: 0.0000 0.0000 0.5000  2 Rb 2.81
Li: 0.0000 0.5000 0.0000  2 Rb 2.81
Li: 0.5000 0.0000 0.0000  2 Rb 2.81
Ga: 0.5000 0.5000 0.5000  12 Li 3.98


Arrangement x

Density functional theory data (PBE) for a relaxed structure of RbLi3Ga.

Calculated values
- N(E_F) (states/eV/atom) = 1.073
- symmetry = No. 221
- calculated volume (Å³/atom) = 29.45

a b c (Å): 5.2807 5.2807 5.2807
angles (deg): 90.00 90.00 90.00
Closest atoms and distances in Å follow each position.
Fractional positions:
Rb: 0.0000 0.0000 0.0000  12 Li 3.73
Li: 0.0000 0.5000 0.5000  2 Ga 2.64
Li: 0.5000 0.0000 0.5000  2 Ga 2.64
Li: 0.5000 0.5000 0.0000  2 Ga 2.64
Ga: 0.5000 0.5000 0.5000  6 Li 2.64


Least stable of them? arrangement w.


Arrangement w

Density functional theory data (PBE) for a relaxed structure of LiGaRe3.

Calculated values
- N(E_F) (states/eV/atom) = 1.232
- symmetry = No. 221
- calculated volume (Å³/atom) = 18.96

a b c (Å): 4.5596 4.5596 4.5596
angles (deg): 90.00 90.00 90.00
Closest atoms and distances in Å follow each position.
Fractional positions:
Li: 0.0000 0.0000 0.0000  12 Re 3.22
Ga: 0.5000 0.5000 0.5000  6 Re 2.28
Re: 0.0000 0.5000 0.5000  2 Ga 2.28
Re: 0.5000 0.0000 0.5000  2 Ga 2.28
Re: 0.5000 0.5000 0.0000  2 Ga 2.28


Arrangement x

Density functional theory data (PBE) for a relaxed structure of LiGaRe3.

Calculated values
- N(E_F) (states/eV/atom) = 1.103
- symmetry = No. 221
- calculated volume (Å³/atom) = 14.39

a b c (Å): 4.1597 4.1597 4.1597
angles (deg): 90.00 90.00 90.00
Closest atoms and distances in Å follow each position.
Fractional positions:
Li: 0.0000 0.0000 0.0000  6 Re 2.08
Ga: 0.5000 0.5000 0.5000  12 Re 2.94
Re: 0.0000 0.0000 0.5000  2 Li 2.08
Re: 0.0000 0.5000 0.0000  2 Li 2.08
Re: 0.5000 0.0000 0.0000  2 Li 2.08


Least stable of them? arrangement w.


Arrangement w

Density functional theory data (PBE) for a relaxed structure of LiGa2Re2.

Calculated values
- N(E_F) (states/eV/atom) = 0.967
- symmetry = No. 127
- calculated volume (Å³/atom) = 14.63

a b c (Å): 6.4745 6.4745 3.4898
angles (deg): 90.00 90.00 90.00
Closest atoms and distances in Å follow each position.
Fractional positions:
Li: 0.0000 0.0000 0.0000  4 Ga 2.50
Li: 0.5000 0.5000 0.0000  4 Ga 2.50
Ga: 0.1394 0.3606 0.0000  2 Li 2.50, 6 Re 2.52-2.62, 1 Ga 2.55
Ga: 0.3606 0.8606 0.0000  2 Li 2.50, 6 Re 2.52-2.62, 1 Ga 2.55
Ga: 0.6394 0.1394 0.0000  2 Li 2.50, 6 Re 2.52-2.62, 1 Ga 2.55
Ga: 0.8606 0.6394 0.0000  2 Li 2.50, 6 Re 2.52-2.62, 1 Ga 2.55
Re: 0.1625 0.6625 0.5000  6 Ga 2.52-2.62
Re: 0.3375 0.1625 0.5000  6 Ga 2.52-2.62
Re: 0.6625 0.8375 0.5000  6 Ga 2.52-2.62
Re: 0.8375 0.3375 0.5000  6 Ga 2.52-2.62


Arrangement x

Density functional theory data (PBE) for a relaxed structure of LiGa2Re2.

Calculated values
- N(E_F) (states/eV/atom) = 0.538
- symmetry = No. 139
- calculated volume (Å³/atom) = 17.02

a b c (Å): 6.7211 6.7211 6.7211
angles (deg): 147.97 147.97 45.92
Closest atoms and distances in Å follow each position.
Fractional positions:
Li: 0.0000 0.0000 0.0000  8 Ga 2.89
Ga: 0.4015 0.4015 0.0000  1 Ga 2.44, 4 Re 2.64
Ga: 0.5985 0.5985 0.0000  1 Ga 2.44, 4 Re 2.64
Re: 0.2500 0.7500 0.5000  4 Re 2.62, 4 Ga 2.64
Re: 0.7500 0.2500 0.5000  4 Re 2.62, 4 Ga 2.64


Least stable of them? arrangement w.


Arrangement w

Density functional theory data (PBE) for a relaxed structure of LiGa5Rh.

Calculated values
- N(E_F) (states/eV/atom) = 0.421
- symmetry = No. 123
- calculated volume (Å³/atom) = 16.65

a b c (Å): 4.4688 4.4688 5.8353
angles (deg): 90.00 90.00 90.00
Closest atoms and distances in Å follow each position.
Fractional positions:
Li: 0.0000 0.0000 0.0000  8 Ga 2.74, 2 Rh 2.92
Ga: 0.0000 0.5000 0.2722  2 Rh 2.60, 3 Ga 2.66-2.74, 2 Li 2.74
Ga: 0.0000 0.5000 0.7278  2 Rh 2.60, 3 Ga 2.66-2.74, 2 Li 2.74
Ga: 0.5000 0.0000 0.2722  2 Rh 2.60, 3 Ga 2.66-2.74, 2 Li 2.74
Ga: 0.5000 0.0000 0.7278  2 Rh 2.60, 3 Ga 2.66-2.74, 2 Li 2.74
Ga: 0.5000 0.5000 0.0000  8 Ga 2.74
Rh: 0.0000 0.0000 0.5000  8 Ga 2.60


Arrangement x

Density functional theory data (PBE) for a relaxed structure of LiGa5Rh.

Calculated values
- N(E_F) (states/eV/atom) = 0.467
- symmetry = No. 44
- calculated volume (Å³/atom) = 22.21

a b c (Å): 6.3101 6.3101 6.3101
angles (deg): 111.96 84.58 136.10
Closest atoms and distances in Å follow each position.
Fractional positions:
Li: 0.0000 0.0000 0.0000  2 Ga 2.26-2.45
Ga: 0.0551 0.3033 0.7519  1 Rh 2.37, 1 Ga 2.53
Ga: 0.2512 0.5772 0.3260  2 Ga 2.46-2.63, 1 Li 2.59, 2 Rh 2.65-2.67
Ga: 0.2512 0.9252 0.6740  2 Ga 2.46-2.63, 1 Li 2.59, 2 Rh 2.65-2.67
Ga: 0.5200 0.5200 0.0000  2 Li 2.26-2.45, 2 Ga 2.53
Ga: 0.5514 0.3033 0.2481  1 Rh 2.37, 1 Ga 2.53
Rh: 0.7489 0.2489 0.5000  2 Ga 2.37


Least stable of them? arrangement x.


Arrangement w

Density functional theory data (PBE) for a relaxed structure of LiGa2Rh4.

Calculated values
- N(E_F) (states/eV/atom) = 1.172
- symmetry = No. 139
- calculated volume (Å³/atom) = 14.91

a b c (Å): 6.9929 6.9929 6.9929
angles (deg): 146.38 146.38 48.28
Closest atoms and distances in Å follow each position.
Fractional positions:
Li: 0.0000 0.0000 0.0000  4 Rh 2.02
Ga: 0.3676 0.3676 0.0000  5 Rh 2.43-2.63
Ga: 0.6324 0.6324 0.0000  5 Rh 2.43-2.63
Rh: 0.0000 0.5000 0.5000  2 Li 2.02
Rh: 0.1775 0.1775 0.0000  1 Li 2.27, 1 Ga 2.43
Rh: 0.5000 0.0000 0.5000  2 Li 2.02
Rh: 0.8225 0.8225 0.0000  1 Li 2.27, 1 Ga 2.43


Arrangement x

Density functional theory data (PBE) for a relaxed structure of LiGa2Rh4.

Calculated values
- N(E_F) (states/eV/atom) = 1.279
- symmetry = No. 139
- calculated volume (Å³/atom) = 14.59

a b c (Å): 5.1008 5.1008 5.1008
angles (deg): 110.18 110.18 108.06
Closest atoms and distances in Å follow each position.
Fractional positions:
Li: 0.0000 0.0000 0.0000  8 Rh 2.55
Ga: 0.0000 0.5000 0.5000  8 Rh 2.55
Ga: 0.5000 0.0000 0.5000  8 Rh 2.55
Rh: 0.0000 0.0000 0.5000  2 Li 2.55, 4 Ga 2.55
Rh: 0.0000 0.5000 0.0000  2 Li 2.55, 4 Ga 2.55
Rh: 0.5000 0.0000 0.0000  2 Li 2.55, 4 Ga 2.55
Rh: 0.5000 0.5000 0.5000  2 Li 2.55, 4 Ga 2.55


Least stable of them? arrangement w.


Arrangement w

Density functional theory data (PBE) for a relaxed structure of LiGa3Rh.

Calculated values
- N(E_F) (states/eV/atom) = 0.343
- symmetry = No. 15
- calculated volume (Å³/atom) = 14.71

a b c (Å): 7.5753 7.5753 4.4862
angles (deg): 91.11 91.11 145.06
Closest atoms and distances in Å follow each position.
Fractional positions:
Li: 0.1557 0.8443 0.7500  8 Ga 2.61-2.69, 1 Rh 2.82
Li: 0.8443 0.1557 0.2500  8 Ga 2.61-2.69, 1 Rh 2.82
Ga: 0.0547 0.9453 0.2500  2 Rh 2.65, 2 Li 2.68, 5 Ga 2.74-2.80
Ga: 0.2483 0.7517 0.2500  4 Li 2.61-2.66, 4 Rh 2.69, 2 Ga 2.80-2.83
Ga: 0.4442 0.5558 0.2500  2 Rh 2.62, 2 Li 2.69, 5 Ga 2.76-2.83
Ga: 0.5558 0.4442 0.7500  2 Rh 2.62, 2 Li 2.69, 5 Ga 2.76-2.83
Ga: 0.7517 0.2483 0.7500  4 Li 2.61-2.66, 4 Rh 2.69, 2 Ga 2.80-2.83
Ga: 0.9453 0.0547 0.7500  2 Rh 2.65, 2 Li 2.68, 5 Ga 2.74-2.80
Rh: 0.3511 0.6489 0.7500  8 Ga 2.62-2.69, 1 Li 2.82
Rh: 0.6489 0.3511 0.2500  8 Ga 2.62-2.69, 1 Li 2.82


Arrangement x

Density functional theory data (PBE) for a relaxed structure of LiGa3Rh.

Calculated values
- N(E_F) (states/eV/atom) = 0.510
- symmetry = No. 221
- calculated volume (Å³/atom) = 21.83

a b c (Å): 4.7792 4.7792 4.7792
angles (deg): 90.00 90.00 90.00
Closest atoms and distances in Å follow each position.
Fractional positions:
Li: 0.0000 0.0000 0.0000  12 Ga 3.38
Ga: 0.0000 0.5000 0.5000  2 Rh 2.39
Ga: 0.5000 0.0000 0.5000  2 Rh 2.39
Ga: 0.5000 0.5000 0.0000  2 Rh 2.39
Rh: 0.5000 0.5000 0.5000  6 Ga 2.39


Least stable of them? arrangement x.


Arrangement w

Density functional theory data (PBE) for a relaxed structure of LiGa2Rh.

Calculated values
- N(E_F) (states/eV/atom) = 0.479
- symmetry = No. 123
- calculated volume (Å³/atom) = 14.17

a b c (Å): 3.1640 3.1640 5.6607
angles (deg): 90.00 90.00 90.00
Closest atoms and distances in Å follow each position.
Fractional positions:
Li: 0.0000 0.0000 0.0000  8 Ga 2.65, 2 Rh 2.83
Ga: 0.5000 0.5000 0.2501  4 Rh 2.65, 4 Li 2.65, 2 Ga 2.83
Ga: 0.5000 0.5000 0.7499  4 Rh 2.65, 4 Li 2.65, 2 Ga 2.83
Rh: 0.0000 0.0000 0.5000  8 Ga 2.65, 2 Li 2.83


Arrangement x

Density functional theory data (PBE) for a relaxed structure of LiGa2Rh.

Calculated values
- N(E_F) (states/eV/atom) = 0.466
- symmetry = No. 123
- calculated volume (Å³/atom) = 14.09

a b c (Å): 4.1739 4.1739 3.2345
angles (deg): 90.00 90.00 90.00
Closest atoms and distances in Å follow each position.
Fractional positions:
Li: 0.0000 0.0000 0.0000  8 Ga 2.64, 4 Rh 2.95
Ga: 0.0000 0.5000 0.5000  4 Li 2.64, 4 Rh 2.64, 4 Ga 2.95
Ga: 0.5000 0.0000 0.5000  4 Li 2.64, 4 Rh 2.64, 4 Ga 2.95
Rh: 0.5000 0.5000 0.0000  8 Ga 2.64, 4 Li 2.95


Arrangement y

Density functional theory data (PBE) for a relaxed structure of LiGa2Rh.

Calculated values
- N(E_F) (states/eV/atom) = 0.450
- symmetry = No. 225
- calculated volume (Å³/atom) = 14.03

a b c (Å): 4.2978 4.2978 4.2978
angles (deg): 60.00 60.00 60.00
Closest atoms and distances in Å follow each position.
Fractional positions:
Li: 0.0000 0.0000 0.0000  8 Ga 2.63
Ga: 0.2500 0.2500 0.2500  4 Li 2.63, 4 Rh 2.63
Ga: 0.7500 0.7500 0.7500  4 Li 2.63, 4 Rh 2.63
Rh: 0.5000 0.5000 0.5000  8 Ga 2.63


Arrangement z

Density functional theory data (PBE) for a relaxed structure of LiGa2Rh.

Calculated values
- N(E_F) (states/eV/atom) = 0.507
- symmetry = No. 160
- calculated volume (Å³/atom) = 16.86

a b c (Å): 5.1804 5.1804 5.1804
angles (deg): 46.77 46.77 46.77
Closest atoms and distances in Å follow each position.
Fractional positions:
Li: 0.0000 0.0000 0.0000  7 Ga 2.67-2.98, 1 Rh 2.67
Ga: 0.2154 0.2154 0.2154  3 Rh 2.59, 1 Ga 2.84, 3 Li 2.88
Ga: 0.4212 0.4212 0.4212  3 Rh 2.48, 3 Li 2.67
Rh: 0.8066 0.8066 0.8066  6 Ga 2.48-2.59, 1 Li 2.67


Least stable of them? arrangement z.